First-principles (PBE-GGA) data for HoTaCo after structural relaxation, as listed in Alexandria via LeMat-Bulk.

Cell and atoms, written as CIF:
```
data_HoTaCo
_cell_length_a 5.4715
_cell_length_b 8.5628
_cell_length_c 9.3412
_cell_angle_alpha 90.00
_cell_angle_beta 90.00
_cell_angle_gamma 90.00
_space_group_name_H-M_alt 'F m m m'
_space_group_IT_number 69
_space_group_name_Hall '-F 2 2'
loop_
_atom_site_label
_atom_site_fract_x
_atom_site_fract_y
_atom_site_fract_z
Ho1 0.0000 0.1746 0.0000
Ta1 0.0000 0.0000 0.3309
Co1 0.2500 0.2500 0.2500
```

Properties
Calculated formation energy: -0.0417 eV per atom
Size of the total moment: 0.000 μB per atom
DOS(E_F): 25.06 states/eV per cell